Entry from Alexandria via LeMat-Bulk: crystalline LiInFeCl4 at its relaxed geometry (PBE).

Calculated values
DFT total energy: -3.936 eV per atom
Formation energy (no corrections): -1.0076 eV/atom

CIF file:
```
data_LiInFeCl4
_chemical_formula_sum 'Li2 In2 Fe2 Cl8'
_cell_length_a 6.149
_cell_length_b 7.023
_cell_length_c 8.589
_cell_angle_alpha 90.00
_cell_angle_beta 100.61
_cell_angle_gamma 90.00
_symmetry_space_group_name_H-M 'P 1 21/m 1'
_symmetry_Int_Tables_number 11
loop_
_symmetry_equiv_pos_as_xyz
'x,y,z'
'-x,-y,-z'
'-x,y+1/2,-z'
'x,-y+1/2,z'
loop_
_atom_site_label
_atom_site_type_symbol
_atom_site_fract_x
_atom_site_fract_y
_atom_site_fract_z
_atom_site_occupancy
Li1 Li 0.141 0.250 0.005 1
In1 In 0.212 0.750 0.607 1
Fe1 Fe 0.348 0.750 0.194 1
Cl1 Cl 0.091 0.508 0.200 1
Cl2 Cl 0.374 0.250 0.595 1
Cl3 Cl 0.462 0.750 0.954 1
```

Entry from Alexandria via LeMat-Bulk: crystalline MgInFe2Cl8 at its relaxed geometry (PBE).

Calculated values
DFT total energy: -3.976 eV per atom
Formation energy (no corrections): -0.9731 eV/atom

CIF file:
```
data_MgInFe2Cl8
_chemical_formula_sum 'Mg2 In2 Fe4 Cl16'
_cell_length_a 8.540
_cell_length_b 8.558
_cell_length_c 7.536
_cell_angle_alpha 90.00
_cell_angle_beta 90.00
_cell_angle_gamma 90.00
_symmetry_space_group_name_H-M 'C m m m'
_symmetry_Int_Tables_number 65
_symmetry_space_group_name_Hall '-C 2 2'
loop_
_atom_site_label
_atom_site_type_symbol
_atom_site_fract_x
_atom_site_fract_y
_atom_site_fract_z
_atom_site_occupancy
Mg1 Mg 0.000 0.000 0.000 1
In1 In 0.000 0.000 0.500 1
Fe1 Fe 0.000 0.500 0.236 1
Cl1 Cl 0.000 0.207 0.236 1
Cl2 Cl 0.183 0.500 0.500 1
Cl3 Cl 0.199 0.500 0.000 1
```

Repeat the second record exactly.
Entry from Alexandria via LeMat-Bulk: crystalline MgInFe2Cl8 at its relaxed geometry (PBE).

Calculated values
DFT total energy: -3.976 eV per atom
Formation energy (no corrections): -0.9731 eV/atom

CIF file:
```
data_MgInFe2Cl8
_chemical_formula_sum 'Mg2 In2 Fe4 Cl16'
_cell_length_a 8.540
_cell_length_b 8.558
_cell_length_c 7.536
_cell_angle_alpha 90.00
_cell_angle_beta 90.00
_cell_angle_gamma 90.00
_symmetry_space_group_name_H-M 'C m m m'
_symmetry_Int_Tables_number 65
_symmetry_space_group_name_Hall '-C 2 2'
loop_
_atom_site_label
_atom_site_type_symbol
_atom_site_fract_x
_atom_site_fract_y
_atom_site_fract_z
_atom_site_occupancy
Mg1 Mg 0.000 0.000 0.000 1
In1 In 0.000 0.000 0.500 1
Fe1 Fe 0.000 0.500 0.236 1
Cl1 Cl 0.000 0.207 0.236 1
Cl2 Cl 0.183 0.500 0.500 1
Cl3 Cl 0.199 0.500 0.000 1
```